Compound: Sn3RuPb
Source: Alexandria via LeMat-Bulk
Functional: PBE
Structure: optimized geometry

Properties
- magnetization (μB/f.u.) = 0.0
- total DFT energy (no corrections) (eV/atom) = -4.8470
- energy above the lowest structure with this stoichiometry (meV/atom) = 0.0
- DOS(E_F) (states/eV per cell) = 4.5
- energy of formation from the pure elements (kJ/mol of formula units) = 73

Geometry as POSCAR:
```
Sn3RuPb
1.0
5.175 0.000 0.000
0.000 5.175 0.000
0.000 0.000 5.175
Sn Ru Pb
3 1 1
Direct
0.000 0.000 0.500 Sn
0.000 0.500 0.000 Sn
0.500 0.000 0.000 Sn
0.000 0.000 0.000 Ru
0.500 0.500 0.500 Pb
```

Compound: LiHg2Cl
Source: Alexandria via LeMat-Bulk
Functional: PBE
Structure: optimized geometry

Properties
- magnetization (μB/f.u.) = 0.0
- total DFT energy (no corrections) (eV/atom) = -1.6031
- energy above the lowest structure with this stoichiometry (meV/atom) = 319.1
- raw formation energy (eV/atom) = -0.512

Geometry as POSCAR:
```
LiHg2Cl
1.0
1.894 1.094 7.960
-1.894 1.094 7.960
0.000 -2.187 7.960
Li Hg Cl
1 2 1
Direct
0.000 0.000 0.000 Li
0.255 0.255 0.255 Hg
0.745 0.745 0.745 Hg
0.500 0.500 0.500 Cl
```

Among the records above, which one has the lowest total DFT energy (no corrections)?
Sn3RuPb

Among the records above, which one has the lowest energy above the lowest structure with this stoichiometry?
Sn3RuPb